A plane-wave DFT calculation with PBE was carried out for a geometry-optimized VOsPt structure.

Cell lengths 5.1777, 5.1777, 6.4452 Å; angles 104.00, 104.00, 31.08 degrees
With the nearest neighbours (Å) after each atom.
Fractional coordinates of all 6 atoms:
V  0.0000  0.0000  0.0000  3 Os 2.66-2.69, 5 Pt 2.67-2.74, 4 V 2.77-2.84
V  0.6774  0.6774  0.3477  4 Pt 2.69-2.74, 4 Os 2.69-2.73, 4 V 2.77-2.84
Os  0.0591  0.0591  0.6207  3 V 2.66-2.73, 5 Os 2.68-2.77, 4 Pt 2.70-2.73
Os  0.3399  0.3399  0.6733  5 Os 2.68-2.77, 4 V 2.69, 3 Pt 2.73-2.77
Pt  0.4000  0.4000  0.2824  5 V 2.67-2.74, 3 Os 2.73, 4 Pt 2.77-2.79
Pt  0.7189  0.7189  0.9519  4 V 2.67-2.74, 4 Os 2.70-2.77, 4 Pt 2.77-2.79

- energy relative to the elements (eV per atom) = -0.23
- theoretical density (g/cm³) = 16.8
- polymorph energy (0 for the lowest one) (meV/atom) = 134.2
- DOS at the Fermi energy (states/eV per cell) = 6.2

***

A plane-wave DFT calculation with PBE was carried out for a geometry-optimized VOsPt2 structure.

Cell lengths 9.5031, 9.5031, 9.5031 Å; angles 157.32, 157.32, 32.29 degrees
With the nearest neighbours (Å) after each atom.
Fractional coordinates of all 8 atoms:
V  0.0000  0.0000  0.0000  4 Pt 2.64, 4 Os 2.64
V  0.7500  0.2500  0.5000  4 Pt 2.64, 4 Os 2.64
Os  0.2500  0.7500  0.5000  4 Pt 2.64, 4 V 2.64
Os  0.5000  0.5000  0.0000  4 Pt 2.64, 4 V 2.64
Pt  0.1260  0.6250  0.0010  2 Os 2.64, 4 Pt 2.64-2.65, 2 V 2.64
Pt  0.3750  0.3760  0.5010  2 Os 2.64, 4 Pt 2.64-2.65, 2 V 2.64
Pt  0.6240  0.1250  0.9990  2 Os 2.64, 4 Pt 2.64-2.65, 2 V 2.64
Pt  0.8750  0.8740  0.4990  2 Os 2.64, 4 Pt 2.64-2.65, 2 V 2.64

- energy relative to the elements (eV per atom) = 0.18
- theoretical density (g/cm³) = 16.5
- polymorph energy (0 for the lowest one) (meV/atom) = 480.3
- DOS at the Fermi energy (states/eV per cell) = 7.0

***

A plane-wave DFT calculation with PBE was carried out for a geometry-optimized VOsPt structure.

Cell lengths 4.7450, 4.7450, 5.4354 Å; angles 106.74, 106.74, 47.89 degrees
With the nearest neighbours (Å) after each atom.
Fractional coordinates of all 6 atoms:
V  0.0000  0.0000  0.0000  6 Pt 2.69-2.86, 4 Os 2.70-2.74, 2 V 2.86
V  0.6846  0.6846  0.3625  5 Os 2.62-2.71, 5 Pt 2.70-2.78, 2 V 2.86
Os  0.0141  0.0141  0.5099  3 Os 2.68-2.76, 5 V 2.70-2.74, 4 Pt 2.72
Os  0.3390  0.3390  0.6700  4 V 2.62-2.70, 3 Os 2.68-2.76, 5 Pt 2.70-2.78
Pt  0.3469  0.3469  0.1782  6 V 2.69-2.86, 4 Os 2.70-2.74, 2 Pt 2.74
Pt  0.6712  0.6712  0.8514  5 V 2.70-2.74, 5 Os 2.72-2.78, 2 Pt 2.74

- energy relative to the elements (eV per atom) = -0.32
- theoretical density (g/cm³) = 16.8
- polymorph energy (0 for the lowest one) (meV/atom) = 44.9
- DOS at the Fermi energy (states/eV per cell) = 5.3

***

A plane-wave DFT calculation with PBE was carried out for a geometry-optimized VOs3Pt structure.

Cell lengths 4.4373, 4.4373, 4.4373 Å; angles 90.00, 90.00, 90.00 degrees
With the nearest neighbours (Å) after each atom.
Fractional coordinates of all 5 atoms:
V  0.0000  0.0000  0.0000  6 Os 2.22
Os  0.0000  0.0000  0.5000  2 V 2.22
Os  0.0000  0.5000  0.0000  2 V 2.22
Os  0.5000  0.0000  0.0000  2 V 2.22
Pt  0.5000  0.5000  0.5000  12 Os 3.14

- energy relative to the elements (eV per atom) = 1.74
- theoretical density (g/cm³) = 15.5
- polymorph energy (0 for the lowest one) (meV/atom) = 0.0
- DOS at the Fermi energy (states/eV per cell) = 7.9